# Ce3TeN3, optimized geometry, DFT PBE
# Density ... 6802 kg/m3
# Crystal system ... monoclinic
# E_form (uncorrected) ... -1.52 eV per atom
# Magnetization ... 0.40 μB per formula unit
# Energy ... -8.081 eV per atom
data_Ce3TeN3
_space_group_name_H-M_alt 'C 1 2/m 1'
_space_group_IT_number 12
_cell_length_a 13.6189
_cell_length_b 3.9939
_cell_length_c 12.0921
_cell_angle_alpha 90.00
_cell_angle_beta 118.85
_cell_angle_gamma 90.00
loop_
_space_group_symop_operation_xyz
'x,y,z'
'-x,-y,-z'
'-x,y,-z'
'x,-y,z'
'x+1/2,y+1/2,z'
'-x+1/2,-y+1/2,-z'
'-x+1/2,y+1/2,-z'
'x+1/2,-y+1/2,z'
loop_
_atom_site_label
_atom_site_type_symbol
_atom_site_fract_x
_atom_site_fract_y
_atom_site_fract_z
Ce1 Ce 0.1244 0.0000 0.4371
Ce2 Ce 0.1295 0.0000 0.9048
Ce3 Ce 0.1468 0.5000 0.2015
Te1 Te 0.1211 0.5000 0.6789
N1 N 0.0631 0.0000 0.2057
N2 N 0.1673 0.5000 0.0164
N3 N 0.1911 0.5000 0.4079